Record 1
A relaxed structure of Pm2CoCu, computed with PBE.

Cell: 3.479 3.479 7.140 Å, 90.00 90.00 90.00°
Positions (direct):
1 Co 0.500 0.500 0.000
2 Cu 0.500 0.500 0.500
3 Pm 0.000 0.000 0.761
4 Pm 0.000 0.000 0.239

Output
Energy of formation: -0.32 eV/f.u.
Energy above the lowest structure with this stoichiometry: 67 meV/atom

Record 2
A relaxed structure of PrSm6Dy2Tm3, computed with PBE.

Cell: 6.217 6.217 11.836 Å, 95.01 95.01 119.99°
Positions (direct):
1 Pr 0.000 0.000 0.000
2 Sm 0.915 0.581 0.747
3 Sm 0.751 0.751 0.253
4 Sm 0.085 0.419 0.253
5 Sm 0.581 0.915 0.747
6 Sm 0.249 0.249 0.747
7 Sm 0.419 0.085 0.253
8 Dy 0.333 0.667 0.000
9 Dy 0.667 0.333 0.000
10 Tm 0.167 0.833 0.500
11 Tm 0.833 0.167 0.500
12 Tm 0.500 0.500 0.500

Output
Energy of formation: 0.22 eV/f.u.

Record 3
A relaxed structure of Mg2InSnH, computed with PBE.

Cell: 4.596 4.596 4.653 Å, 90.00 90.00 90.00°
Positions (direct):
1 H 0.000 0.000 0.000
2 Mg 0.000 0.500 0.000
3 Mg 0.500 0.000 0.000
4 Sn 0.500 0.500 0.500
5 In 0.000 0.000 0.500

Record 4
A relaxed structure of CaGa3NiIr, computed with PBE.

Cell: 5.638 7.727 6.654 Å, 125.49 90.00 90.00°
Positions (direct):
1 Ca 0.750 0.288 0.576
2 Ca 0.250 0.712 0.424
3 Ga 0.250 0.199 0.398
4 Ga 0.000 0.253 0.000
5 Ga 0.500 0.747 0.000
6 Ga 0.500 0.253 0.000
7 Ga 0.000 0.747 0.000
8 Ga 0.750 0.801 0.602
9 Ni 0.250 0.991 0.983
10 Ni 0.750 0.009 0.017
11 Ir 0.250 0.418 0.837
12 Ir 0.750 0.582 0.163

Output
Energy of formation: -2.24 eV/f.u.

no.,DOS at the Fermi energy (states/eV/f.u.),uncorrected energy (eV/cell)
1,3.26,-21.02
2,14.57,-55.50
3,1.86,-13.16
4,2.92,-55.93